[1]
Below is an optimized crystal structure of TbNdTm5Sc2, with properties calculated at the PBE-GGA level.

Calculated values
calculated volume = 546.32 Å³/cell
energy of formation from the pure elements = 0.174 eV/atom
SG = Cmc2_1, No. 36

Cell and atoms, written as POSCAR:
```
TbNdTm5Sc2
1.0
5.537 0.000 0.000
-2.769 10.623 0.000
0.000 0.000 9.288
Tm Sc Tb Nd
10 4 2 2
direct
0.007 0.015 0.024
0.469 0.938 0.748
0.609 0.218 0.542
0.391 0.782 0.042
0.736 0.471 0.837
0.308 0.616 0.722
0.993 0.985 0.524
0.531 0.062 0.248
0.264 0.529 0.337
0.692 0.384 0.222
0.144 0.288 0.692
0.887 0.774 0.824
0.856 0.712 0.192
0.113 0.226 0.324
0.810 0.621 0.519
0.190 0.379 0.019
0.403 0.806 0.416
0.597 0.194 0.916
```



[2]
Below is an optimized crystal structure of Ti2B2Rh, with properties calculated at the PBE-GGA level.

Calculated values
calculated volume = 111.41 Å³/cell
energy of formation from the pure elements = -0.875 eV/atom
SG = P4/mbm, No. 127

Cell and atoms, written as POSCAR:
```
Ti2B2Rh
1.0
-4.944 -1.810 -2.330
2.905 -2.191 -4.461
0.301 -2.923 1.632
Ti Rh B
4 2 4
direct
0.825 0.325 0.500
0.325 0.175 0.500
0.675 0.825 0.500
0.175 0.675 0.500
0.500 0.500 0.000
0.000 0.000 0.000
0.389 0.889 0.000
0.111 0.389 0.000
0.889 0.611 0.000
0.611 0.111 0.000
```



[3]
Below is an optimized crystal structure of Cs2Pm2SnO6, with properties calculated at the PBE-GGA level.

Calculated values
calculated volume = 226.75 Å³/cell
SG = C2/m, No. 12
formation energy (no corrections) = -2310 meV per atom

Cell and atoms, written as POSCAR:
```
Cs2Pm2SnO6
1.0
6.079 -0.002 0.085
-3.006 5.284 0.085
-1.061 -1.823 7.001
O Pm Cs Sn
6 2 2 1
direct
0.954 0.645 0.344
0.046 0.355 0.656
0.751 0.751 0.658
0.249 0.249 0.342
0.645 0.954 0.344
0.355 0.046 0.656
0.335 0.665 0.500
0.665 0.335 0.500
0.834 0.166 0.000
0.166 0.834 0.000
0.000 0.000 0.500
```